Here is crystalline Pm2Al3Cu at its relaxed geometry from Alexandria via LeMat-Bulk. Energies are from PBE.

The space group is P6_3/mmc (No. 194) and the conventional cell measures 5.6748, 5.6748 and 8.7552 Å, with angles of 90.00, 90.00 and 120.00 degrees. Symmetry generates all atoms from Pm at (0.3333, 0.6667, 0.0723), Al at (0.1666, 0.3333, 0.7500) and Cu at (0.0000, 0.0000, 0.0000).

The value obtained for the total magnetization is 0.00 μB per cell. The calculation puts the formation energy at -0.43 eV/atom.